Record 1
VASP calculation (PBE) on an optimized crystal structure of PrFeReSi2.

Results
The energy relative to the elements, uncorrected comes out at -0.496 eV per atom. Its raw total energy is -7.80 eV/atom.

abc: 5.9823 5.9823 5.9823
angles: 140.30 140.30 57.40
Fractional positions:
1 Pr 0.0000 0.0000 0.0000
2 Fe 0.7500 0.2500 0.5000
3 Re 0.2500 0.7500 0.5000
4 Si 0.3742 0.3742 0.0000
5 Si 0.6258 0.6258 0.0000

Record 2
VASP calculation (PBE) on an optimized crystal structure of PrFeSi3Rh.

Results
The energy relative to the elements, uncorrected comes out at -0.480 eV per atom. Its raw total energy is -6.62 eV/atom.

abc: 6.6057 6.6057 5.5920
angles: 90.00 90.00 115.72
Fractional positions:
1 Pr 0.2433 0.7567 0.7500
2 Pr 0.7567 0.2433 0.2500
3 Fe 0.0469 0.9531 0.2500
4 Fe 0.9531 0.0469 0.7500
5 Si 0.2338 0.7662 0.2500
6 Si 0.2436 0.2436 0.0000
7 Si 0.2436 0.2436 0.5000
8 Si 0.7564 0.7564 0.0000
9 Si 0.7564 0.7564 0.5000
10 Si 0.7662 0.2338 0.7500
11 Rh 0.4313 0.5687 0.2500
12 Rh 0.5687 0.4313 0.7500